Entry from Alexandria via LeMat-Bulk: an optimized crystal structure of CsSr2SnI8 (PBE).

Results
- crystal system = monoclinic
- total magnetic moment (μB per formula unit) = 0.00
- formation energy from raw total energies (kcal/mol of atoms) = -26.62
- raw total energy (eV/cell) = -34.5

Cell lengths 7.548, 10.364, 7.659 Å; angles 90.00, 90.31, 90.00 degrees
Fractional coordinates of all 12 atoms:
Cs 0.000 0.000 0.000
Sr 0.500 0.256 0.500
Sr 0.500 0.744 0.500
Sn 0.000 0.500 0.000
I 0.240 0.500 0.658
I 0.250 0.294 0.144
I 0.250 0.706 0.144
I 0.257 0.000 0.589
I 0.743 0.000 0.411
I 0.750 0.294 0.856
I 0.750 0.706 0.856
I 0.760 0.500 0.342